DFT (PBE-GGA) results for a relaxed structure of Ba2Pt3RhPb4.

Lattice parameters (Å, degrees): 4.874 4.874 11.141 90.00 90.00 90.00
Element x y z (fractional)
Ba  0.000  0.500  0.242
Ba  0.500  0.000  0.758
Pt  0.000  0.000  0.000
Pt  0.000  0.500  0.632
Pt  0.500  0.000  0.368
Rh  0.500  0.500  0.000
Pb  0.000  0.000  0.500
Pb  0.000  0.500  0.882
Pb  0.500  0.000  0.118
Pb  0.500  0.500  0.500

VASP energy   -48.86 eV per cell
M_tot   0.00 μB/f.u.
Crystal system   tetragonal
Formation energy   -4.7 eV per formula unit